Record 1
This record from Alexandria describes TaZnCd2 after structural relaxation. The functional is PBE-GGA.

Output
Polymorph energy (0 for the lowest one), meV per atom: 85.4
Crystal system: tetragonal
Symmetry: P4/mmm (123)

a b c (Å): 2.9323 2.9323 8.6357
angles (deg): 90.00 90.00 89.94
With the nearest neighbours (Å) after each atom.
Positions (direct):
Cd: 0.0000 0.0000 0.9891  4 Zn 2.93, 4 Cd 2.93, 4 Ta 3.06
Cd: 0.0000 0.0000 0.5109  4 Zn 2.93, 4 Cd 2.93, 4 Ta 3.06
Ta: 0.5000 0.5000 0.2500  4 Ta 2.93, 8 Cd 3.06
Zn: 0.5000 0.5000 0.7500  8 Cd 2.93, 4 Zn 2.93

Record 2
This record from Alexandria describes TaZnCd2 after structural relaxation. The functional is PBE-GGA.

Output
Polymorph energy (0 for the lowest one), meV per atom: 118.3
Crystal system: orthorhombic
Symmetry: Cmmm (65)

a b c (Å): 5.4303 5.4303 2.8454
angles (deg): 90.00 90.00 114.92
With the nearest neighbours (Å) after each atom.
Positions (direct):
Zn: 0.0000 0.5000 0.5000  2 Zn 2.85, 2 Ta 2.92, 8 Cd 3.07
Cd: 0.5000 0.5000 0.0000  4 Cd 2.85-2.92, 4 Ta 3.07, 4 Zn 3.07
Cd: 0.0000 0.0000 0.0000  4 Cd 2.85-2.92, 4 Zn 3.07, 4 Ta 3.07
Ta: 0.5000 0.0000 0.5000  2 Ta 2.85, 2 Zn 2.92, 8 Cd 3.07

Record 3
This record from Alexandria describes TaZnCd2 after structural relaxation. The functional is PBE-GGA.

Output
Polymorph energy (0 for the lowest one), meV per atom: 164.6
Crystal system: monoclinic
Symmetry: P2/m (10)

a b c (Å): 4.5606 2.9357 5.7338
angles (deg): 77.03 90.00 90.00
With the nearest neighbours (Å) after each atom.
Positions (direct):
Zn: 0.5000 0.7500 0.7500  4 Cd 2.76, 2 Ta 2.91, 2 Zn 2.94
Cd: 0.0000 0.8929 0.9955  2 Zn 2.76, 3 Cd 2.85-2.94, 2 Ta 3.02
Cd: 0.0000 0.6071 0.5045  2 Zn 2.76, 3 Cd 2.85-2.94, 2 Ta 3.02
Ta: 0.5000 0.2500 0.2500  2 Zn 2.91, 2 Ta 2.94, 8 Cd 3.02-3.11

Record 4
This record from Alexandria describes TaZnCd2 after structural relaxation. The functional is PBE-GGA.

Output
Polymorph energy (0 for the lowest one), meV per atom: 506.7
Crystal system: tetragonal
Symmetry: I-42d (122)

a b c (Å): 7.5475 7.5475 6.0341
angles (deg): 51.29 51.29 90.00
With the nearest neighbours (Å) after each atom.
Positions (direct):
Cd: 0.3750 0.4005 0.7500  2 Zn 2.63, 2 Cd 2.84, 2 Ta 2.89
Cd: 0.1505 0.6250 0.2500  2 Zn 2.63, 2 Cd 2.84, 2 Ta 2.89
Cd: 0.5995 0.1250 0.2500  2 Zn 2.63, 2 Cd 2.84, 2 Ta 2.89
Cd: 0.8750 0.8495 0.7500  2 Zn 2.63, 2 Cd 2.84, 2 Ta 2.89
Ta: 0.0000 0.0000 0.0000  2 Zn 2.82, 4 Cd 2.89
Ta: 0.7500 0.2500 0.5000  2 Zn 2.82, 4 Cd 2.89
Zn: 0.5000 0.5000 0.0000  4 Cd 2.63, 2 Ta 2.82
Zn: 0.2500 0.7500 0.5000  4 Cd 2.63, 2 Ta 2.82

Record 5
This record from Alexandria describes TaZn2Cd after structural relaxation. The functional is PBE-GGA.

Output
Polymorph energy (0 for the lowest one), meV per atom: 175.4
Crystal system: orthorhombic
Symmetry: Imm2 (44)

a b c (Å): 5.7500 5.7500 5.7500
angles (deg): 152.37 127.64 60.22
With the nearest neighbours (Å) after each atom.
Positions (direct):
Zn: 0.7606 0.2606 0.5000  4 Zn 2.66-2.75, 2 Cd 2.83, 4 Ta 2.89
Zn: 0.9893 0.9893 0.0000  4 Zn 2.66-2.75, 2 Ta 2.83, 4 Cd 2.89
Cd: 0.5115 0.5115 0.0000  2 Cd 2.75, 6 Zn 2.83-2.89, 2 Ta 3.04
Ta: 0.2385 0.7385 0.5000  2 Ta 2.75, 6 Zn 2.83-2.89, 2 Cd 3.04

Record 6
This record from Alexandria describes TaZn2Cd after structural relaxation. The functional is PBE-GGA.

Output
Polymorph energy (0 for the lowest one), meV per atom: 54.0
Crystal system: tetragonal
Symmetry: P4mm (99)

a b c (Å): 2.9617 2.9617 7.7343
angles (deg): 90.00 90.00 89.91
With the nearest neighbours (Å) after each atom.
Positions (direct):
Zn: 0.0000 0.0000 0.0145  8 Zn 2.65-2.96, 4 Ta 2.80
Zn: 0.5000 0.5000 0.2253  8 Zn 2.65-2.96, 4 Cd 2.91
Cd: 0.0000 0.0000 0.4865  4 Zn 2.91, 4 Cd 2.96, 4 Ta 3.05
Ta: 0.5000 0.5000 0.7737  4 Zn 2.80, 4 Ta 2.96, 4 Cd 3.05

Record 7
This record from Alexandria describes TaZn4Cd after structural relaxation. The functional is PBE-GGA.

Output
Crystal system: cubic
Symmetry: F-43m (216)
E_tot, eV per atom: -2.724

a b c (Å): 5.1485 5.1485 5.1485
angles (deg): 60.00 60.00 60.00
With the nearest neighbours (Å) after each atom.
Positions (direct):
Zn: 0.8797 0.3734 0.3734  6 Zn 2.54-2.61
Zn: 0.3734 0.3734 0.3734  6 Zn 2.54-2.61
Zn: 0.3734 0.3734 0.8797  6 Zn 2.54-2.61
Zn: 0.3734 0.8797 0.3734  6 Zn 2.54-2.61
Ta: 0.0000 0.0000 0.0000  12 Zn 3.02, 4 Cd 3.15
Cd: 0.7500 0.7500 0.7500  12 Zn 3.02, 4 Ta 3.15

Record 8
This record from Alexandria describes Ta2ZnCd after structural relaxation. The functional is PBE-GGA.

Output
Polymorph energy (0 for the lowest one), meV per atom: 135.8
Crystal system: monoclinic
Symmetry: P2/m (10)

a b c (Å): 4.2623 2.8839 6.4805
angles (deg): 62.42 90.00 90.00
With the nearest neighbours (Å) after each atom.
Positions (direct):
Cd: 0.5000 0.7500 0.7500  2 Zn 2.87, 2 Cd 2.88, 8 Ta 2.97-2.98
Ta: 0.0000 0.5178 0.4905  4 Ta 2.76-2.98, 4 Zn 2.90-2.95, 4 Cd 2.97-2.98
Ta: 0.0000 0.9822 0.0095  4 Ta 2.76-2.98, 4 Zn 2.90-2.95, 4 Cd 2.97-2.98
Zn: 0.5000 0.2500 0.2500  2 Cd 2.87, 2 Zn 2.88, 8 Ta 2.90-2.95